Tl2VBiO4: optimized geometry, GGA+U.

The structure belongs to space group Pmn2_1 (No. 31); the cell edges are 7.619, 7.154 and 6.265 Å and the angles 90.00°, 90.00° and 90.00°. The distinct sites, in fractional coordinates, are Tl at (0.244, 0.162, 0.000), V at (0.000, 0.632, 0.021), Bi at (0.000, 0.271, 0.437), O at (0.000, 0.429, 0.879), O at (0.000, 0.558, 0.297) and O at (0.190, 0.762, 0.959).

Its total energy is -5.63 eV/atom. The calculation puts the density of states at the Fermi level at 0.0276 states/eV/atom.